Density functional theory data (PBE-GGA) for a geometry-optimized Nb2CdAs structure.

The structure in POSCAR format:
```
Nb2CdAs
1.0
0.0000 3.3375 3.3375
3.3375 0.0000 3.3375
3.3375 3.3375 0.0000
Nb Cd As
2 1 1
Direct
0.0000 0.0000 0.0000
0.2500 0.2500 0.2500
0.7500 0.7500 0.7500
0.5000 0.5000 0.5000
```

## Properties
VASP energy   -6.013 eV/atom
Crystal system   cubic
Space-group type   No. 216
Calculated density   8.33 Mg/m³

***

Density functional theory data (PBE-GGA) for a geometry-optimized NbCdAs structure.

The structure in POSCAR format:
```
NbCdAs
1.0
0.0000 3.2131 3.2131
3.2131 0.0000 3.2131
3.2131 3.2131 0.0000
Nb Cd As
1 1 1
Direct
0.0000 0.0000 0.0000
0.2500 0.2500 0.2500
0.7500 0.7500 0.7500
```

## Properties
Crystal system   cubic
Space-group type   No. 216
Calculated density   7.01 Mg/m³
ΔE to the lowest computed polymorph   0.000 eV/atom